Computed, not measured: crystalline Sc3Se2S at its relaxed geometry at the PBE level of DFT.

Its space group is No. 71.

Lattice parameters (Å, degrees): 6.6553 6.6553 6.6553 146.66 132.68 59.11
Element x y z (fractional)
Sc1 0.0000 0.0000 0.0000
Sc2 0.3548 0.3548 0.0000
Sc3 0.6452 0.6452 0.0000
Se1 0.1723 0.6723 0.5000
Se2 0.8277 0.3277 0.5000
S1 0.5000 0.0000 0.5000

Computed, not measured: crystalline UAgF6 at its relaxed geometry at the PBE level of DFT.

Its space group is No. 132.

Lattice parameters (Å, degrees): 5.3403 5.3403 9.5731 90.00 90.00 90.00
Element x y z (fractional)
U1 0.0000 0.0000 0.0000
U2 0.0000 0.0000 0.5000
Ag1 0.5000 0.5000 0.2500
Ag2 0.5000 0.5000 0.7500
F1 0.2024 0.2024 0.1504
F2 0.2024 0.2024 0.8496
F3 0.2024 0.7976 0.3496
F4 0.2024 0.7976 0.6504
F5 0.2762 0.2762 0.5000
F6 0.2762 0.7238 0.0000
F7 0.7238 0.2762 0.0000
F8 0.7238 0.7238 0.5000
F9 0.7976 0.2024 0.3496
F10 0.7976 0.2024 0.6504
F11 0.7976 0.7976 0.1504
F12 0.7976 0.7976 0.8496

Number 1: formation energy without anion corrections -1.69 eV per atom, E -6.71 eV per atom. Number 2: formation energy without anion corrections -2.94 eV per atom, E -6.11 eV per atom.